First-principles (PBE) data for Rb2PbS2 after structural relaxation, as listed in Alexandria.

POSCAR file:
```
Rb2PbS2
1.0
10.9381 0.0000 0.0000
0.0000 8.5660 0.0000
-2.0775 0.0000 7.9527
Rb Pb S
8 4 8
direct
0.0304 0.2393 0.0128 Rb
0.0304 0.2607 0.5128 Rb
0.3237 0.6531 0.0060 Rb
0.3237 0.8469 0.5060 Rb
0.6763 0.1531 0.4940 Rb
0.6763 0.3469 0.9940 Rb
0.9696 0.7393 0.4872 Rb
0.9696 0.7607 0.9872 Rb
0.3562 0.1362 0.9317 Pb
0.3562 0.3638 0.4317 Pb
0.6438 0.6362 0.5683 Pb
0.6438 0.8638 0.0683 Pb
0.1496 0.5340 0.2834 S
0.1496 0.9660 0.7834 S
0.4604 0.5340 0.7077 S
0.4604 0.9660 0.2077 S
0.5396 0.0340 0.7923 S
0.5396 0.4660 0.2923 S
0.8504 0.0340 0.2166 S
0.8504 0.4660 0.7166 S
```

Calculated values
Magnetization in μB/f.u.: 0.00
DFT total energy in eV per atom: -3.65
E above lowest polymorph in eV/atom: 0.000
Formation energy without anion corrections in meV/atom: -869.2